[1]
Computed, not measured: GaBi2Pb6 after structural relaxation at the PBE level of DFT.

Computed properties:
- Energy of formation: 0.057 eV/atom
- Polymorph energy (0 for the lowest one): 0.000 eV/atom
- Total magnetic moment: 0.000 μB per atom
- Crystal system: monoclinic

a b c (Å): 5.9855 6.0652 9.3681
angles (deg): 118.97 108.63 90.00
Fractional positions:
Pb 0.2883 0.1818 0.5767
Pb 0.7117 0.8182 0.4233
Pb 0.6062 0.1498 0.2125
Bi 0.0583 0.8269 0.1165
Pb 0.3938 0.8502 0.7875
Bi 0.9417 0.1731 0.8835
Ga 0.5000 0.5000 0.0000
Pb 0.1659 0.5011 0.3319
Pb 0.8341 0.4989 0.6681

***

[2]
Computed, not measured: Ga2Bi4Pb3 after structural relaxation at the PBE level of DFT.

Computed properties:
- Energy of formation: 0.072 eV/atom
- Total magnetic moment: 0.000 μB per atom
- Crystal system: triclinic

a b c (Å): 5.1790 6.3612 10.3083
angles (deg): 62.77 89.82 65.82
Fractional positions:
Pb 0.3120 0.3787 0.4207
Bi 0.3459 0.3074 0.1046
Ga 0.3390 0.3200 0.7902
Pb 0.6880 0.6213 0.5793
Pb 0.0000 0.0000 0.0000
Ga 0.6610 0.6800 0.2098
Bi 0.0024 0.9966 0.6616
Bi 0.9976 0.0034 0.3384
Bi 0.6541 0.6926 0.8954

***

[3]
Computed, not measured: GaBi6Pb12 after structural relaxation at the PBE level of DFT.

Computed properties:
- Energy of formation: 0.105 eV/atom
- Polymorph energy (0 for the lowest one): 0.037 eV/atom
- Total magnetic moment: 0.000 μB per atom
- Crystal system: trigonal

a b c (Å): 9.0636 9.0636 9.0636
angles (deg): 95.83 95.83 95.83
Fractional positions:
Pb 0.6997 0.9430 0.0944
Pb 0.6121 0.1806 0.4973
Bi 0.8440 0.4327 0.7356
Bi 0.1560 0.5673 0.2644
Pb 0.3003 0.0570 0.9056
Pb 0.3879 0.8194 0.5027
Ga 0.0000 0.0000 0.0000
Pb 0.1806 0.4973 0.6121
Pb 0.9430 0.0944 0.6997
Pb 0.4973 0.6121 0.1806
Bi 0.2644 0.1560 0.5673
Pb 0.9056 0.3003 0.0570
Pb 0.0944 0.6997 0.9430
Pb 0.8194 0.5027 0.3879
Bi 0.7356 0.8440 0.4327
Bi 0.5673 0.2644 0.1560
Pb 0.0570 0.9056 0.3003
Pb 0.5027 0.3879 0.8194
Bi 0.4327 0.7356 0.8440

***

energy of formation of number 1 (GaBi2Pb6)? 0.057 eV/atom